AcThFeN3, relaxed, DFT GGA-PBE; M_tot = 0.00 Bohr magnetons per cell; space-group type = P2_1/m (11); total DFT energy (no corrections) = -8.4576 eV per atom; formation energy from raw total energies = -0.9631 eV per atom; N(E_F) = 4.52 states/eV/cell
1.0
3.5610 0.0000 0.0000
0.0000 7.7905 0.8231
0.0000 -2.1051 7.0962
Ac Th Fe N
2 2 2 6
direct
0.7500 0.8241 0.7969
0.2500 0.1759 0.2031
0.2500 0.6488 0.1853
0.7500 0.3512 0.8147
0.2500 0.0736 0.5760
0.7500 0.9264 0.4240
0.2500 0.8380 0.5089
0.7500 0.8624 0.1575
0.7500 0.4215 0.1421
0.7500 0.1620 0.4911
0.2500 0.5785 0.8579
0.2500 0.1376 0.8425

HoTmIn, relaxed, DFT GGA-PBE; M_tot = 0.00 Bohr magnetons per cell; space-group type = I4mm (107); energy above the most stable polymorph in this dataset = 0.000 eV/f.u.; total DFT energy (no corrections) = -4.2425 eV per atom; formation energy from the elements = -0.94 eV/f.u.; N(E_F) = 3.12 states/eV/cell
1.0
-1.9778 -1.5887 2.4149
2.6634 -2.1387 0.7744
1.8427 6.2870 3.1052
Tm Ho In
1 1 1
direct
0.2932 0.2932 0.5863
0.6076 0.6076 0.2153
0.9492 0.9492 0.8984

Tb2Pm6PrSc, relaxed, DFT GGA-PBE; M_tot = 0.00 Bohr magnetons per cell; space-group type = C2/c (15); total DFT energy (no corrections) = -4.7620 eV per atom; formation energy from the elements = 1.25 eV/f.u.; N(E_F) = 27.83 states/eV/cell
1.0
8.8451 -1.8259 -1.8949
1.0301 8.7511 -2.0935
1.0301 -2.4164 8.6675
Tb Pm Pr Sc
4 12 2 2
direct
0.4479 0.7903 0.6831
0.0521 0.3169 0.2097
0.5521 0.2097 0.3169
0.9479 0.6831 0.7903
0.0535 0.1315 0.7770
0.4465 0.2230 0.8685
0.9465 0.8685 0.2230
0.5535 0.7770 0.1315
0.2988 0.0164 0.4445
0.2012 0.5555 0.9836
0.7012 0.9836 0.5555
0.7988 0.4445 0.0164
0.1051 0.7189 0.4838
0.3949 0.5162 0.2811
0.8949 0.2811 0.5162
0.6051 0.4838 0.7189
0.2500 0.9715 0.0285
0.7500 0.0285 0.9715
0.2500 0.4268 0.5732
0.7500 0.5732 0.4268

LiBeSiRh, relaxed, DFT GGA-PBE; M_tot = 0.00 Bohr magnetons per cell; space-group type = F-43m (216); energy above the most stable polymorph in this dataset = 0.000 eV/f.u.; total DFT energy (no corrections) = -5.0958 eV per atom; formation energy from raw total energies = -0.4922 eV per atom; N(E_F) = 2.06 states/eV/cell
1.0
4.0225 0.0000 0.0000
2.0113 3.4836 0.0000
2.0113 1.1612 3.2844
Be Si Rh Li
1 1 1 1
direct
0.2500 0.2500 0.2500
0.7500 0.7500 0.7500
0.0000 0.0000 0.0000
0.5000 0.5000 0.5000

RbAg2I, relaxed, DFT GGA-PBE; M_tot = 0.00 Bohr magnetons per cell; space-group type = Fm-3m (225); energy above the most stable polymorph in this dataset = 0.478 eV/f.u.; total DFT energy (no corrections) = -1.8841 eV per atom; formation energy from raw total energies = 0.1709 eV per atom; N(E_F) = 1.60 states/eV/cell
1.0
3.1731 0.1380 4.6564
2.3850 4.8355 1.6428
-1.8757 2.6436 4.6112
I Rb Ag
1 1 2
direct
0.5000 0.5000 0.5000
0.0000 0.0000 0.0000
0.2500 0.2500 0.2500
0.7500 0.7500 0.7500

Ac2Tb2Er, relaxed, DFT GGA-PBE; M_tot = 0.00 Bohr magnetons per cell; space-group type = C2/c (15); energy above the most stable polymorph in this dataset = 0.000 eV/f.u.; total DFT energy (no corrections) = -4.3393 eV per atom; formation energy from the elements = 0.34 eV/f.u.; N(E_F) = 16.64 states/eV/cell
1.0
6.5788 0.0000 0.0000
-3.2894 7.8518 -2.2419
0.0000 0.1854 7.0863
Ac Tb Er
4 4 2
direct
0.6076 0.3922 0.6536
0.2155 0.6078 0.8464
0.3924 0.6078 0.3464
0.7845 0.3922 0.1536
0.8235 0.8138 0.0508
0.0097 0.1862 0.4492
0.1765 0.1862 0.9492
0.9903 0.8138 0.5508
0.5907 0.0000 0.7500
0.4093 0.0000 0.2500